# LaSmDy4, relaxed, DFT PBE
data_LaSmDy4
_chemical_formula_sum 'La4 Sm4 Dy16'
_symmetry_space_group_name_H-M 'F -4 3 m'
_symmetry_Int_Tables_number 216
_symmetry_space_group_name_Hall 'F -4 2 3'
_cell_length_a 9.4090
_cell_length_b 9.4090
_cell_length_c 9.4090
_cell_angle_alpha 90.00
_cell_angle_beta 90.00
_cell_angle_gamma 90.00
loop_
_atom_site_label
_atom_site_type_symbol
_atom_site_fract_x
_atom_site_fract_y
_atom_site_fract_z
_atom_site_occupancy
La1 La 0.0000 0.0000 0.0000 1
Sm1 Sm 0.2500 0.2500 0.7500 1
Dy1 Dy 0.1243 0.1243 0.3757 1
# * uncorrected energy: -4.398 eV per atom
# * size of the total moment: 1.70 μB per formula unit
# * formation energy: 0.2778 eV per atom
# * energy relative to the lowest polymorph listed for this composition: 252.2 meV/atom